Here is a relaxed KTlIn2Br crystal from Alexandria via LeMat-Bulk. Energies are from PBE.

a b c (Å): 6.4433 6.4433 5.7709
angles (deg): 90.00 90.00 90.00
Closest atoms and distances in Å follow each position.
Sites, in units of the cell vectors:
K1 0.0000 0.0000 0.0000  2 Br 2.89, 4 In 3.22
In1 0.0000 0.5000 0.0000  2 K 3.22
In2 0.5000 0.0000 0.0000  2 K 3.22
Tl1 0.5000 0.5000 0.5000  8 In 4.32, 4 Br 4.56
Br1 0.0000 0.0000 0.5000  2 K 2.89

Values from the calculation:
Raw total energy in eV per cell: -9.6
Formation energy from raw total energies in eV per atom: 0.20

***

Here is a relaxed MgSc2H crystal from Alexandria via LeMat-Bulk. Energies are from PBE.

a b c (Å): 3.2642 3.2642 8.0663
angles (deg): 78.33 78.33 60.00
Closest atoms and distances in Å follow each position.
Sites, in units of the cell vectors:
Mg1 0.4994 0.4994 0.5019  6 Mg 3.26, 6 Sc 3.27-3.30
Sc1 0.2812 0.2812 0.1563  3 H 2.25
Sc2 0.0523 0.0523 0.8432  3 H 2.24
H1 0.6672 0.6672 0.9985  6 Sc 2.24-2.25

Values from the calculation:
Raw total energy in eV per cell: -18.3
Energy relative to the lowest polymorph listed for this composition in eV per formula unit: 0.00

***

Here is a relaxed As2IrBr crystal from Alexandria via LeMat-Bulk. Energies are from PBE.

a b c (Å): 2.8966 2.8966 11.4901
angles (deg): 90.00 90.00 117.61
Closest atoms and distances in Å follow each position.
Sites, in units of the cell vectors:
Ir1 0.5000 0.5000 0.7500  4 As 2.59, 4 Ir 2.90
As1 0.0000 0.0000 0.5665  2 Ir 2.59, 4 As 2.90
As2 0.0000 0.0000 0.9335  2 Ir 2.59, 4 As 2.90
Br1 0.5000 0.5000 0.2500  6 Br 2.90-3.00

Values from the calculation:
Raw total energy in eV per cell: -18.7
Formation energy from raw total energies in eV per atom: 0.28
Energy relative to the lowest polymorph listed for this composition in eV per formula unit: 1.85

***

Here is a relaxed SmPaIr4 crystal from Alexandria via LeMat-Bulk. Energies are from PBE.

a b c (Å): 5.3831 5.3831 5.3831
angles (deg): 60.00 60.00 60.00
Closest atoms and distances in Å follow each position.
Sites, in units of the cell vectors:
Ir1 0.1245 0.6252 0.6252  6 Ir 2.69-2.70
Ir2 0.6252 0.1245 0.6252  6 Ir 2.69-2.70
Ir3 0.6252 0.6252 0.1245  6 Ir 2.69-2.70
Ir4 0.6252 0.6252 0.6252  6 Ir 2.69-2.70
Sm1 0.0000 0.0000 0.0000  12 Ir 3.16, 4 Pa 3.30
Pa1 0.2500 0.2500 0.2500  12 Ir 3.16, 4 Sm 3.30

Values from the calculation:
Raw total energy in eV per cell: -54.1
Formation enthalpy at 0 K in meV per atom: -736

***

Here is a relaxed SrMg2ScTl4 crystal from Alexandria via LeMat-Bulk. Energies are from PBE.

a b c (Å): 4.9410 4.9410 10.7810
angles (deg): 76.75 76.75 60.00
Closest atoms and distances in Å follow each position.
Sites, in units of the cell vectors:
Mg1 0.7630 0.7630 0.7109  6 Tl 3.01-3.06
Mg2 0.2370 0.2370 0.2891  6 Tl 3.01-3.06
Tl1 0.8731 0.8731 0.3807  3 Mg 3.01, 3 Sc 3.11
Tl2 0.6060 0.6060 0.1820  3 Mg 3.06, 1 Sc 3.31, 3 Sr 3.42
Tl3 0.3940 0.3940 0.8180  3 Mg 3.06, 1 Sc 3.31, 3 Sr 3.42
Tl4 0.1269 0.1269 0.6193  3 Mg 3.01, 3 Sc 3.11
Sc1 0.5000 0.5000 0.5000  8 Tl 3.11-3.31
Sr1 0.0000 0.0000 0.0000  6 Tl 3.42

Values from the calculation:
Raw total energy in eV per cell: -22.3
Formation enthalpy at 0 K in meV per atom: -203

***

Here is a relaxed NaCd2NiSb crystal from Alexandria via LeMat-Bulk. Energies are from PBE.

a b c (Å): 5.0560 5.0560 4.8833
angles (deg): 90.00 90.00 90.00
Closest atoms and distances in Å follow each position.
Sites, in units of the cell vectors:
Sb1 0.0000 0.0000 0.5000  2 Ni 2.44
Cd1 0.5000 0.0000 0.0000  2 Ni 2.53
Cd2 0.0000 0.5000 0.0000  2 Ni 2.53
Na1 0.5000 0.5000 0.5000  8 Cd 3.51, 4 Sb 3.58
Ni1 0.0000 0.0000 0.0000  2 Sb 2.44, 4 Cd 2.53

Values from the calculation:
Raw total energy in eV per cell: -13.3
Formation energy from raw total energies in eV per atom: -0.05

***

Here is a relaxed AcPu2PaO8 crystal from Alexandria via LeMat-Bulk. Energies are from PBE.

a b c (Å): 6.4768 6.4768 6.4768
angles (deg): 109.35 109.35 109.71
Closest atoms and distances in Å follow each position.
Sites, in units of the cell vectors:
O1 0.3055 0.0987 0.7933  1 Pu 2.12, 1 Pa 2.24
O2 0.3055 0.5122 0.2067  1 Pu 2.12, 1 Pa 2.24
O3 0.9013 0.6945 0.2067  1 Pu 2.12, 1 Pa 2.24
O4 0.7060 0.0343 0.6717  1 Pu 2.06
O5 0.3626 0.0343 0.3283  1 Pu 2.06
O6 0.4878 0.6945 0.7933  1 Pu 2.12, 1 Pa 2.24
O7 0.9657 0.2940 0.3283  1 Pu 2.06
O8 0.9657 0.6374 0.6717  1 Pu 2.06
Pa1 0.2500 0.7500 0.5000  8 O 2.24-2.48
Pu1 0.5000 0.5000 0.0000  4 O 2.12
Pu2 0.7500 0.2500 0.5000  4 O 2.06
Ac1 0.0000 0.0000 0.0000  8 O 2.47-2.75

Values from the calculation:
Raw total energy in eV per cell: -118.0
Formation energy from raw total energies in eV per atom: -3.01

***

Here is a relaxed YCoAg crystal from Alexandria via LeMat-Bulk. Energies are from PBE.

a b c (Å): 3.4463 3.4463 6.0255
angles (deg): 90.00 90.00 120.00
Closest atoms and distances in Å follow each position.
Sites, in units of the cell vectors:
Co1 0.6667 0.3333 0.3297  3 Ag 2.66, 3 Y 2.70
Ag1 0.0000 0.0000 0.0377  3 Co 2.66
Y1 0.3333 0.6667 0.6326  3 Co 2.70

Values from the calculation:
Raw total energy in eV per cell: -15.4
Formation enthalpy at 0 K in meV per atom: 338